1.
Density functional theory data (GGA-PBE) for a relaxed structure of Tm3In3IrPd2. Values from VASP.

**Space group**: P-62m, No. 189

The structure in Quantum ESPRESSO input format:
```
&SYSTEM
  ibrav = 0, nat = 9, ntyp = 4
/
ATOMIC_SPECIES
In 114.82 In.upf
Ir 192.22 Ir.upf
Pd 106.42 Pd.upf
Tm 168.93 Tm.upf
CELL_PARAMETERS angstrom
-5.168 -4.131 -3.637
-0.110 0.400 7.538
-2.349 3.114 -0.200
ATOMIC_POSITIONS angstrom
In -3.821 -3.054 -2.690
In -1.375 -0.972 1.016
In -0.082 0.296 5.574
Ir -1.174 1.557 -0.100
Pd -3.482 -2.620 0.088
Pd -1.796 -1.110 3.813
Tm -3.230 -0.086 -1.547
Tm -1.218 1.716 2.899
Tm -4.353 -0.690 2.249
```

***

2.
Density functional theory data (GGA-PBE) for a relaxed structure of Y3In3IrPd2. Values from VASP.

**Space group**: P-62m, No. 189

The structure in Quantum ESPRESSO input format:
```
&SYSTEM
  ibrav = 0, nat = 9, ntyp = 4
/
ATOMIC_SPECIES
In 114.82 In.upf
Ir 192.22 Ir.upf
Pd 106.42 Pd.upf
Y 88.91 Y.upf
CELL_PARAMETERS angstrom
-5.021 -2.194 5.256
0.206 -3.486 -6.743
2.638 -2.611 1.430
ATOMIC_POSITIONS angstrom
In 0.035 -1.867 2.059
In 1.372 -2.197 -1.009
In -2.265 -5.533 -0.391
Ir 0.000 0.000 0.000
Pd -1.960 -3.930 1.972
Pd -0.218 -4.361 -2.028
Y -3.007 -1.314 3.148
Y -1.932 -2.279 -0.596
Y 0.123 -2.087 -4.038
```

***

3.
Density functional theory data (GGA-PBE) for a relaxed structure of Y2In4IrPd. Values from VASP.

**Space group**: Amm2, No. 38

The structure in Quantum ESPRESSO input format:
```
&SYSTEM
  ibrav = 0, nat = 8, ntyp = 4
/
ATOMIC_SPECIES
In 114.82 In.upf
Ir 192.22 Ir.upf
Pd 106.42 Pd.upf
Y 88.91 Y.upf
CELL_PARAMETERS angstrom
7.574 0.000 0.000
0.000 2.236 5.247
0.000 -2.236 5.247
ATOMIC_POSITIONS angstrom
In 1.515 0.000 1.457
In 6.058 0.000 1.457
In 2.270 0.000 9.036
In 5.304 0.000 9.036
Ir 0.000 0.000 7.475
Pd 3.787 0.000 3.033
Y 0.000 0.000 4.473
Y 3.787 0.000 6.008
```

***

4.
Density functional theory data (GGA-PBE) for a relaxed structure of Y2In2IrPd3. Values from VASP.

**Space group**: P3m1, No. 156

The structure in Quantum ESPRESSO input format:
```
&SYSTEM
  ibrav = 0, nat = 8, ntyp = 4
/
ATOMIC_SPECIES
In 114.82 In.upf
Ir 192.22 Ir.upf
Pd 106.42 Pd.upf
Y 88.91 Y.upf
CELL_PARAMETERS angstrom
-0.290 -0.301 -4.573
3.945 -1.012 2.122
-2.576 -8.524 0.724
ATOMIC_POSITIONS angstrom
In -0.025 -0.083 0.007
In -1.292 -4.274 0.363
Ir 2.308 -1.519 -0.047
Pd 1.471 -4.289 0.189
Pd -0.385 -5.522 -1.918
Pd -1.216 -8.271 -1.685
Y 0.498 -2.601 -2.166
Y 0.587 -7.214 0.437
```

***

Total DFT energy (no corrections) readings, ordered: -5.30; -5.97; -5.34; -6.09 eV per atom